# PBE with a Hubbard U VCd2PbO6, optimized geometry
data_VCd2PbO6
_chemical_formula_sum 'V1 Cd2 Pb1 O6'
_symmetry_space_group_name_H-M 'P 4 m m'
_symmetry_Int_Tables_number 99
_symmetry_space_group_name_Hall 'P 4 -2'
_cell_length_a 5.4940
_cell_length_b 5.4940
_cell_length_c 5.1359
_cell_angle_alpha 90.00
_cell_angle_beta 90.00
_cell_angle_gamma 90.00
loop_
_atom_site_label
_atom_site_type_symbol
_atom_site_fract_x
_atom_site_fract_y
_atom_site_fract_z
V1 V 0.0000 0.0000 0.0000
Cd1 Cd 0.0000 0.5000 0.3683
Pb1 Pb 0.5000 0.5000 0.9431
O1 O 0.0000 0.0000 0.6722
O2 O 0.2301 0.2301 0.1209
O3 O 0.5000 0.5000 0.5265
# * N(E_F): 1.65 states/eV per cell
# * magnetization: 0.00 μB/cell
# * theoretical density: 6.2 g cm⁻³
# * energy: -5.395 eV/atom